[1]
This record from Alexandria via LeMat-Bulk describes an optimized crystal structure of Li2Mn3O6. The functional is PBE with a Hubbard U.

extended XYZ file:
```
22
Lattice="-4.249 -0.989 2.824 4.573 0.747 2.352 -1.953 10.086 0.593" Properties=species:S:1:pos:R:3 pbc="T T T"
O -0.887 5.765 4.630
O 0.530 6.355 2.044
O 2.811 1.472 3.320
O -1.669 9.085 2.230
O -2.679 5.723 2.216
O 1.173 9.478 2.150
O -0.742 4.079 1.140
O -2.801 0.367 3.620
O -2.159 3.490 3.726
O 1.051 4.122 3.554
O -4.440 8.373 2.450
O 0.040 0.759 3.540
Mn 2.153 5.506 2.726
Mn -0.814 4.922 2.885
Mn 0.000 0.000 0.000
Mn 1.606 0.163 2.511
Mn -3.781 4.338 3.044
Mn -1.282 -0.405 2.665
Li 1.845 2.861 2.063
Li 0.938 7.852 3.471
Li -2.566 1.993 2.299
Li -3.473 6.984 3.707
```

Calculated values
For the distance to the lowest polymorph of the same formula, the calculation gives 59 meV/atom. The symmetry is Cmce.

---

[2]
This record from Alexandria via LeMat-Bulk describes an optimized crystal structure of LiMn2OsO6. The functional is PBE with a Hubbard U.

extended XYZ file:
```
20
Lattice="-4.537 -2.625 -0.701 0.979 -0.363 -4.980 4.055 -7.354 1.334" Properties=species:S:1:pos:R:3 pbc="T T T"
Mn -0.973 -2.957 -2.575
Mn -3.315 -4.839 -0.299
Mn 1.470 -7.385 -1.771
Mn 3.813 -5.503 -4.047
Os 0.490 -0.182 -2.490
Os -0.241 -4.989 0.317
O 0.560 -3.717 -3.669
O 3.008 -6.687 -0.370
O -0.933 -6.146 -3.965
O 1.841 -6.040 -3.246
O -1.344 -4.302 -1.100
O 0.262 -8.686 -3.063
O -2.511 -3.654 -3.976
O -2.741 -1.877 -2.032
O -0.063 -6.624 -0.678
O 0.235 -1.656 -1.284
O 1.430 -4.196 -0.382
O 3.238 -8.464 -2.314
Li 2.517 -3.859 -1.823
Li -2.268 -1.312 -0.350
```

Calculated values
The calculated total energy is -7.200 eV/atom. The symmetry is Pnnm.

---

[3]
This record from Alexandria via LeMat-Bulk describes an optimized crystal structure of Li2MnOsO6. The functional is PBE with a Hubbard U.

extended XYZ file:
```
20
Lattice="5.048 0.000 0.006 0.000 5.221 0.000 0.053 0.000 7.634" Properties=species:S:1:pos:R:3 pbc="T T T"
Li 5.050 0.205 5.692
Li 2.500 2.405 1.872
Li 2.601 2.816 5.768
Li 0.051 5.015 1.948
Os 2.551 0.000 3.820
Os 0.000 2.610 0.000
O 4.152 4.278 4.248
O 3.500 1.668 7.212
O 0.949 0.943 3.392
O 3.146 0.265 2.060
O 0.864 0.985 0.513
O 1.687 3.595 3.307
O 4.453 2.875 1.766
O 4.237 4.236 7.127
O 3.415 1.625 4.333
O 0.648 2.345 5.874
O 1.955 4.956 5.580
O 1.601 3.553 0.428
Mn 2.524 0.000 0.003
Mn 0.027 2.610 3.817
```

Calculated values
The calculated total energy is -6.663 eV/atom. The symmetry is P2_1/c.

---

[4]
This record from Alexandria via LeMat-Bulk describes an optimized crystal structure of LiMn2P2O8. The functional is PBE with a Hubbard U.

extended XYZ file:
```
26
Lattice="4.869 -0.007 0.005 -0.006 6.141 -0.011 0.108 -0.009 10.192" Properties=species:S:1:pos:R:3 pbc="T T T"
O 0.131 1.280 6.470
O 4.760 4.863 1.401
O 2.404 0.103 6.928
O 0.231 4.988 6.287
O 0.472 -0.002 8.582
O 4.853 3.174 4.086
O 2.132 3.052 7.668
O 2.473 1.772 9.780
O 0.201 2.950 9.323
O 2.712 1.893 4.778
O 2.839 3.066 2.511
O 2.369 4.204 9.952
O 4.652 1.161 1.277
O 2.597 4.333 4.641
O 2.505 6.023 1.959
O 4.521 6.128 3.532
P 0.865 0.026 7.095
P 4.029 6.107 2.057
P 3.330 3.089 3.988
P 1.740 3.025 9.155
Mn 3.482 0.023 5.228
Mn 1.407 6.109 0.150
Mn 1.086 3.092 5.892
Mn 3.887 3.031 0.832
Li 1.242 4.607 3.025
Li 3.733 1.521 8.122
```

Calculated values
For the distance to the lowest polymorph of the same formula, the calculation gives 0 meV/atom. The symmetry is P1.

---

[5]
This record from Alexandria via LeMat-Bulk describes an optimized crystal structure of Li4MnP2O8. The functional is PBE with a Hubbard U.

extended XYZ file:
```
15
Lattice="5.033 0.007 0.003 -0.711 5.197 0.008 -0.460 -0.462 6.201" Properties=species:S:1:pos:R:3 pbc="T T T"
O 3.353 1.482 3.013
O 0.508 3.261 3.198
O 2.768 4.556 1.618
O 1.094 0.187 4.594
O 3.614 1.573 0.484
O 1.381 0.923 1.521
O 0.247 3.170 5.728
O 2.480 3.820 4.690
P 2.930 0.825 1.673
P 0.932 3.918 4.538
Li 1.303 3.145 1.319
Li 0.319 1.288 3.171
Li 2.558 1.599 4.892
Li 3.542 3.455 3.040
Mn 0.000 0.000 0.000
```

Calculated values
For the distance to the lowest polymorph of the same formula, the calculation gives 46 meV/atom. The symmetry is P-1.

---

[6]
This record from Alexandria via LeMat-Bulk describes an optimized crystal structure of LiMnP2O7. The functional is PBE with a Hubbard U.

extended XYZ file:
```
22
Lattice="6.164 -0.070 0.076 -1.744 8.118 -0.090 -2.002 -1.158 5.725" Properties=species:S:1:pos:R:3 pbc="T T T"
P 3.469 1.050 3.200
P 0.451 4.590 4.308
P -1.310 5.960 2.517
P 1.694 2.320 1.408
Mn 0.439 1.106 3.999
Mn 1.763 5.902 1.776
O -0.087 5.261 5.598
O 0.884 3.166 4.491
O 1.511 5.508 3.660
O 2.111 1.606 0.101
O 3.711 -0.081 2.253
O -1.562 7.019 3.572
O -0.842 4.612 3.304
O 0.691 1.374 2.106
O 1.152 3.714 1.165
O -1.479 1.632 3.932
O 3.019 2.376 2.329
O 2.371 0.873 4.285
O -0.173 6.274 1.497
O 3.639 5.439 1.780
Li -1.546 6.604 5.584
Li -2.345 2.460 5.558
```

Calculated values
For the distance to the lowest polymorph of the same formula, the calculation gives 32 meV/atom. The symmetry is P1.

---

[7]
This record from Alexandria via LeMat-Bulk describes an optimized crystal structure of LiMn4P3O12. The functional is PBE with a Hubbard U.

extended XYZ file:
```
40
Lattice="7.461 0.011 -0.006 -0.597 7.772 0.022 -3.500 -3.689 8.428" Properties=species:S:1:pos:R:3 pbc="T T T"
Mn 1.358 3.525 3.813
Mn -2.445 -0.188 6.074
Mn 2.042 4.325 0.715
Mn 1.763 -3.326 7.693
Mn 1.321 -0.231 7.728
Mn 5.808 4.282 2.369
Mn 2.005 0.570 4.631
Mn 1.600 7.421 0.751
O 3.126 0.846 6.592
O 0.237 3.249 1.852
O 2.692 1.902 3.090
O 0.456 0.716 1.373
O 2.907 3.379 7.071
O -0.459 0.747 7.114
O 0.671 2.193 5.353
O -0.505 3.274 7.350
O -2.255 -1.158 8.141
O 2.258 5.928 2.223
O -1.396 -1.987 5.632
O 3.674 -0.653 4.334
O -1.922 2.072 5.610
O 3.162 4.581 4.138
O 5.618 5.253 0.302
O 4.759 6.081 2.812
O -2.885 2.010 8.380
O 5.285 2.023 2.834
O 6.248 2.085 0.064
O 0.201 -0.486 4.305
O 3.868 0.821 1.093
O 3.822 3.347 1.329
O 1.105 -1.833 6.220
O -0.311 4.748 4.110
P 0.180 2.104 0.754
P 3.334 5.930 3.377
P -0.567 2.114 6.311
P 3.930 1.981 2.133
P 0.029 -1.835 5.067
P 3.183 1.991 7.690
Li 4.407 3.934 5.598
Li -1.044 0.160 2.846
```

Calculated values
For the distance to the lowest polymorph of the same formula, the calculation gives 0 meV/atom. The symmetry is P-1.

---

[8]
This record from Alexandria via LeMat-Bulk describes an optimized crystal structure of LiMn4P3O12. The functional is PBE with a Hubbard U.

extended XYZ file:
```
40
Lattice="6.821 -0.001 0.004 0.000 6.821 0.001 3.404 3.409 9.817" Properties=species:S:1:pos:R:3 pbc="T T T"
O 3.851 8.699 6.990
O 1.536 2.973 2.079
O 8.306 6.749 6.141
O 3.487 5.340 1.232
O 6.438 1.291 0.812
O 5.322 6.911 6.139
O 6.365 8.700 7.756
O 3.325 1.503 1.229
O 6.437 2.139 4.119
O 5.275 3.868 2.084
O 3.323 1.929 3.696
O 5.533 3.797 5.719
O 4.894 6.911 8.606
O 5.275 6.383 2.848
O 2.956 4.961 6.987
O 0.374 5.549 0.809
O 8.941 9.862 9.029
O 3.486 4.913 3.699
O 8.731 6.748 8.608
O 1.535 7.280 2.844
O 7.193 4.701 4.121
O 4.683 3.798 9.026
O 7.261 4.959 7.755
O 8.095 3.041 5.720
Mn 6.816 3.419 0.371
Mn 6.813 3.420 9.468
Mn 5.108 5.030 7.372
Mn 8.518 8.630 7.375
Mn 5.205 1.715 2.465
Mn 3.404 3.417 5.275
Mn 1.605 5.127 2.463
Mn 6.816 6.831 4.562
P 5.108 7.881 7.373
P 8.518 5.779 7.374
P 6.817 0.010 0.012
P 4.456 5.126 2.466
P 2.355 1.716 2.462
P 6.815 3.420 4.920
Li 3.405 6.822 4.922
Li 3.404 3.421 0.013
```

Calculated values
For the distance to the lowest polymorph of the same formula, the calculation gives 7 meV/atom. The symmetry is Cc.

---

[9]
This record from Alexandria via LeMat-Bulk describes an optimized crystal structure of LiMn2P2O10. The functional is PBE with a Hubbard U.

extended XYZ file:
```
30
Lattice="-3.186 -5.813 1.263 3.763 2.762 5.205 -6.345 4.163 2.340" Properties=species:S:1:pos:R:3 pbc="T T T"
O -0.866 -2.913 3.001
O 0.781 2.332 4.003
O -1.733 0.630 6.563
O 0.919 0.656 5.806
O -3.326 -0.869 5.185
O -3.984 1.507 5.804
O -4.905 4.118 5.724
O -3.579 -2.404 3.110
O -6.632 0.359 3.026
O -2.167 3.511 5.711
O -3.847 -0.169 7.607
O -4.046 0.444 2.392
O -1.868 1.184 1.224
O -2.466 -4.544 1.853
O -5.158 2.585 3.648
O -2.446 2.075 3.539
O -1.730 -0.358 3.044
O -3.313 5.618 7.102
O -6.495 -1.183 4.846
O -0.588 -1.477 5.172
P -2.565 0.876 2.581
P 1.545 1.066 4.455
P -3.219 0.241 6.256
P -7.330 0.051 4.382
Li -0.310 -0.306 1.490
Li -5.070 -1.130 3.300
Mn -0.214 -0.557 6.737
Mn -3.663 3.039 4.688
Mn -1.793 4.431 7.276
Mn -2.083 -1.948 4.150
```

Calculated values
For the distance to the lowest polymorph of the same formula, the calculation gives 0 meV/atom. The symmetry is P1.

---

[10]
This record from Alexandria via LeMat-Bulk describes an optimized crystal structure of LiMn2P3O12. The functional is PBE with a Hubbard U.

extended XYZ file:
```
72
Lattice="8.250 0.000 0.004 0.000 8.533 0.000 -0.002 0.000 11.764" Properties=species:S:1:pos:R:3 pbc="T T T"
O 4.608 7.434 11.070
O 0.564 7.092 2.116
O 5.997 5.940 6.480
O 7.680 3.128 1.269
O 4.669 7.385 4.634
O 3.361 0.978 10.760
O 5.466 3.991 8.030
O 7.702 5.783 9.631
O 0.484 1.099 5.186
O 7.206 2.117 8.852
O 1.103 2.137 2.871
O 6.825 8.303 9.604
O 5.995 2.296 3.238
O 5.227 6.396 8.755
O 2.969 1.550 6.144
O 3.173 8.130 7.745
O 3.588 3.614 10.519
O 2.596 7.901 0.752
O 1.537 3.631 5.137
O 3.554 5.405 7.149
O 3.082 6.416 2.968
O 7.299 0.403 1.865
O 6.358 1.657 11.199
O 1.016 3.884 9.843
O 5.287 2.757 5.614
O 1.342 4.542 2.145
O 7.486 7.555 4.880
O 3.578 2.750 3.747
O 0.543 1.147 10.514
O 7.095 6.982 0.264
O 0.785 5.234 6.893
O 4.688 1.440 8.000
O 5.661 4.902 11.021
O 3.656 5.321 0.714
O 6.368 6.582 2.626
O 6.720 0.632 6.636
O 5.141 4.649 3.963
O 7.780 3.212 6.598
O 2.234 6.876 5.315
O 0.538 7.908 7.125
O 1.869 6.237 9.118
O 4.911 3.299 1.013
O 2.701 0.230 3.720
O 1.161 5.776 11.494
O 1.873 2.593 0.596
O 2.242 1.951 8.506
O 7.713 4.919 4.638
O 4.664 0.625 1.244
P 3.187 7.362 4.206
P 7.983 0.008 5.960
P 7.311 1.171 10.090
P 5.029 5.396 7.578
P 3.206 1.143 7.597
P 0.907 5.438 10.023
P 3.859 8.525 0.075
P 5.033 3.095 4.143
P 7.332 7.390 1.717
P 0.297 4.293 5.767
P 0.905 3.137 1.693
P 4.421 4.240 11.651
Li 0.615 3.006 8.190
Li 5.608 8.180 7.989
Li 1.484 0.352 2.105
Li 4.741 5.527 2.310
Mn 6.159 2.415 7.225
Mn 2.032 6.660 7.207
Mn 2.103 2.372 10.492
Mn 2.071 1.906 4.537
Mn 6.194 6.627 10.421
Mn 6.158 1.873 1.326
Mn 6.229 6.161 4.612
Mn 2.035 6.118 1.341
```

Calculated values
For the distance to the lowest polymorph of the same formula, the calculation gives 4 meV/atom. The symmetry is Pc.